La5PmSn5: relaxed, PBE.

Calculated values
The value obtained for the total energy is -5.02 eV/atom. For the density of states at the Fermi level, the calculation gives 0.998 states/eV per atom. The value obtained for the formation energy is -5.8 eV per formula unit.

Structure (CIF):
```
data_La5PmSn5
_cell_length_a 14.8838
_cell_length_b 6.4872
_cell_length_c 8.8663
_cell_angle_alpha 90.00
_cell_angle_beta 107.44
_cell_angle_gamma 90.00
_space_group_name_H-M_alt 'C 1 2/m 1'
_space_group_IT_number 12
_space_group_name_Hall '-C 2y'
loop_
_atom_site_label
_atom_site_fract_x
_atom_site_fract_y
_atom_site_fract_z
La1 0.0000 0.0000 0.0000
La2 0.1692 0.5000 0.3364
La3 0.1707 0.5000 0.8315
Pm1 0.0000 0.0000 0.5000
Sn1 0.0000 0.5000 0.5000
Sn2 0.1610 0.0000 0.3315
Sn3 0.1629 0.0000 0.8322
```

=====

LaPrGdTh: relaxed, PBE.

Calculated values
The value obtained for the total energy is -7.62 eV/atom. For the density of states at the Fermi level, the calculation gives 2.379 states/eV per atom. The value obtained for the formation energy is 0.7 eV per formula unit.

Structure (CIF):
```
data_LaPrGdTh
_cell_length_a 8.1956
_cell_length_b 8.1956
_cell_length_c 8.1956
_cell_angle_alpha 90.00
_cell_angle_beta 90.00
_cell_angle_gamma 90.00
_space_group_name_H-M_alt 'F -4 3 m'
_space_group_IT_number 216
_space_group_name_Hall 'F -4 2 3'
loop_
_atom_site_label
_atom_site_fract_x
_atom_site_fract_y
_atom_site_fract_z
La1 0.0000 0.0000 0.0000
Pr1 0.0000 0.0000 0.5000
Gd1 0.2500 0.2500 0.2500
Th1 0.2500 0.2500 0.7500
```

=====

TlC: relaxed, PBE.

Calculated values
The value obtained for the total energy is -3.81 eV/atom. The offset from the most stable computed form is 1199 meV/atom. For the density of states at the Fermi level, the calculation gives 0.647 states/eV per atom. The value obtained for the formation energy is 4.0 eV per formula unit.

Structure (CIF):
```
data_TlC
_cell_length_a 3.7353
_cell_length_b 3.7353
_cell_length_c 6.3036
_cell_angle_alpha 90.00
_cell_angle_beta 90.00
_cell_angle_gamma 120.00
_space_group_name_H-M_alt 'P 63 m c'
_space_group_IT_number 186
_space_group_name_Hall 'P 6c -2c'
loop_
_atom_site_label
_atom_site_fract_x
_atom_site_fract_y
_atom_site_fract_z
Tl1 0.3333 0.6667 0.0000
C1 0.3333 0.6667 0.6370
```

=====

DyTiPd2: relaxed, PBE.

Calculated values
The value obtained for the total energy is -6.30 eV/atom. The offset from the most stable computed form is 65 meV/atom. For the density of states at the Fermi level, the calculation gives 0.737 states/eV per atom. The value obtained for the formation energy is -2.3 eV per formula unit.

Structure (CIF):
```
data_DyTiPd2
_cell_length_a 6.6941
_cell_length_b 6.6941
_cell_length_c 6.6941
_cell_angle_alpha 90.00
_cell_angle_beta 90.00
_cell_angle_gamma 90.00
_space_group_name_H-M_alt 'F m -3 m'
_space_group_IT_number 225
_space_group_name_Hall '-F 4 2 3'
loop_
_atom_site_label
_atom_site_fract_x
_atom_site_fract_y
_atom_site_fract_z
Dy1 0.0000 0.0000 0.0000
Ti1 0.0000 0.0000 0.5000
Pd1 0.2500 0.2500 0.2500
```

=====

Quick rundown of calculated density, same order as above: 5.83 8.07 9.44 9.37 Mg/m³